Hf2TlAu2: relaxed, PBE.

Calculated values
- Crystal system: tetragonal
- Calculated density: 13.61 g/cm³
- Calculated total energy: -5.783 eV/atom

Cell and atoms, written as POSCAR:
```
Hf2TlAu2
1.0
3.768 -4.772 2.738
-1.541 -6.485 -0.185
0.472 5.328 -3.981
Au Hf Tl
2 2 1
direct
0.389 0.389 0.000
0.611 0.611 0.000
0.750 0.250 0.500
0.250 0.750 0.500
0.000 0.000 0.000
```